MnCoCuRe PBE optimized geometry; VASP energy = -8.046 eV per atom; crystal system = tetragonal
1.0
3.7002 0.0000 0.0000
0.0000 3.7002 0.0000
0.0000 0.0000 7.1072
Mn Co Cu Re
2 2 2 2
Direct
0.0000 0.0000 0.0000
0.5000 0.5000 0.5000
0.0000 0.0000 0.5000
0.5000 0.5000 0.0000
0.0000 0.5000 0.7500
0.5000 0.0000 0.2500
0.0000 0.5000 0.2500
0.5000 0.0000 0.7500